1.
Dy5Tl2Os2: relaxed, GGA-PBE.

Cell: 16.574 7.495 7.588 Å, 90.00 90.00 90.00°
Space group Cmce (No. 64)
Symmetry-distinct sites (fractional):
Dy1 0.000 0.000 0.000 (multiplicity 4)
Dy2 0.117 0.180 0.322 (multiplicity 16)
Tl1 0.224 0.000 0.000 (multiplicity 8)
Os1 0.000 0.115 0.621 (multiplicity 8)

Calculated volume (Å³/cell): 942.53
VASP energy (eV/cell): -211.76


2.
Dy2TlOs: relaxed, GGA-PBE.

Cell: 5.029 5.029 3.634 Å, 90.00 90.00 90.00°
Space group P4/mmm (No. 123)
Symmetry-distinct sites (fractional):
Dy1 0.000 0.500 0.000 (multiplicity 2)
Tl1 0.000 0.000 0.500 (multiplicity 1)
Os1 0.500 0.500 0.500 (multiplicity 1)

E above lowest polymorph (eV/atom): 0.024
Calculated volume (Å³/cell): 91.89
VASP energy (eV/cell): -23.31


3.
Dy12Tl6Os: relaxed, GGA-PBE.

Cell: 12.1753 12.1753 13.4386 Å, 90.00 90.00 120.00°
Space group R-3 (No. 148, hexagonal axes)
Symmetry-distinct sites (fractional):
Dy1 0.0341 0.8464 0.3929 (multiplicity 18)
Dy2 0.0347 0.1880 0.8747 (multiplicity 18)
Tl1 0.0093 0.6121 0.2632 (multiplicity 18)
Os1 0.0000 0.0000 0.0000 (multiplicity 3)

Calculated volume (Å³/cell): 1725.21
VASP energy (eV/cell): -249.95


4.
Dy2TlOs: relaxed, GGA-PBE.

Cell: 7.162 7.162 7.162 Å, 90.00 90.00 90.00°
Space group Fm-3m (No. 225)
Symmetry-distinct sites (fractional):
Dy1 0.250 0.250 0.250 (multiplicity 8)
Tl1 0.000 0.000 0.000 (multiplicity 4)
Os1 0.000 0.000 0.500 (multiplicity 4)

E above lowest polymorph (eV/atom): 0.000
Calculated volume (Å³/cell): 367.43
VASP energy (eV/cell): -93.63


no.,magnetic moment (μB/f.u.)
1,0.0
2,0.0
3,0.0
4,0.0